## BaAlV4O7 (PBE with a Hubbard U)

Data for crystalline BaAlV4O7 at its relaxed geometry.

Results
M_tot ... 9.0 μB/f.u.
DOS(E_F) ... 0.255 states/eV/cell
Space-group type ... No. 186
Total DFT energy (no corrections) ... -7.298 eV per atom

Unit cell a=5.994 b=5.994 c=10.680 alpha=90.00 beta=90.00 gamma=120.00
Fractional positions:
1 Al 0.333 0.667 0.369
2 V 0.331 0.165 0.178
3 O 0.507 0.493 0.777
4 O 0.507 0.014 0.777
5 O 0.493 0.986 0.277
6 O 0.632 0.816 0.493
7 O 0.493 0.507 0.277
8 V 0.000 0.000 0.467
9 V 0.165 0.331 0.678
10 V 0.835 0.165 0.178
11 O 0.000 0.000 0.284
12 O 0.184 0.368 0.493
13 V 0.669 0.835 0.678
14 O 0.816 0.632 0.993
15 Ba 0.333 0.667 0.969
16 O 0.014 0.507 0.277
17 O 0.986 0.493 0.777
18 Al 0.667 0.333 0.869
19 Ba 0.667 0.333 0.469
20 V 0.165 0.835 0.678
21 O 0.184 0.816 0.493
22 O 0.816 0.184 0.993
23 O 0.000 0.000 0.784
24 V 0.835 0.669 0.178
25 O 0.368 0.184 0.993
26 V 0.000 0.000 0.967